Computed, not measured: CrFe6Cu after structural relaxation at the GGA-PBE level of DFT.

The structure in POSCAR format:
```
CrFe6Cu
1.0
-6.169 -0.916 0.325
1.920 -0.823 -5.886
1.566 -9.872 1.891
Cr Cu Fe
4 4 24
Direct
0.249 0.751 0.250
0.751 0.249 0.250
0.000 0.000 0.499
0.000 0.000 0.001
0.249 0.751 0.750
0.751 0.249 0.750
0.500 0.500 0.500
0.500 0.500 0.000
0.251 0.749 0.499
0.875 0.623 0.624
0.125 0.377 0.624
0.749 0.251 0.499
0.377 0.125 0.624
0.623 0.875 0.624
0.500 0.500 0.250
0.125 0.374 0.374
0.374 0.125 0.374
0.251 0.749 0.001
0.875 0.626 0.126
0.125 0.374 0.126
0.749 0.251 0.001
0.374 0.125 0.126
0.626 0.875 0.126
0.500 0.500 0.750
0.125 0.377 0.876
0.377 0.125 0.876
0.000 0.000 0.250
0.626 0.875 0.374
0.875 0.626 0.374
0.000 0.000 0.750
0.623 0.875 0.876
0.875 0.623 0.876
```

Values from the calculation:
total magnetic moment = 46.1 Bohr magnetons per cell
crystal system = orthorhombic
SG = Cmmm
total DFT energy (no corrections) = -254.8 eV per cell
E_form = 0.099 eV per atom